# 1
VASP calculation (PBE-GGA) on a relaxed structure of HoTm2Al2.

## Properties
The energy of formation is -139 meV per atom. As for the raw total energy: -4.34 eV per atom.

The structure in CIF format:
```
data_HoTm2Al2
_symmetry_space_group_name_H-M 'P 1'
_symmetry_Int_Tables_number 1
_cell_length_a 3.558
_cell_length_b 5.530
_cell_length_c 13.261
_cell_angle_alpha 96.03
_cell_angle_beta 90.00
_cell_angle_gamma 90.00
loop_
_symmetry_equiv_pos_as_xyz
'x,y,z'
loop_
_atom_site_label
_atom_site_type_symbol
_atom_site_fract_x
_atom_site_fract_y
_atom_site_fract_z
Ho1 Ho 0.250 0.682 0.236
Ho2 Ho 0.750 0.318 0.764
Tm1 Tm 0.250 0.845 0.887
Tm2 Tm 0.750 0.155 0.113
Tm3 Tm 0.250 0.259 0.538
Tm4 Tm 0.750 0.741 0.462
Al1 Al 0.250 0.792 0.659
Al2 Al 0.750 0.208 0.341
Al3 Al 0.250 0.348 0.956
Al4 Al 0.750 0.652 0.044
```

---

# 2
VASP calculation (PBE-GGA) on a relaxed structure of PrCd12Au4.

## Properties
The energy of formation is -19 meV per atom. As for the raw total energy: -1.72 eV per atom.

The structure in CIF format:
```
data_PrCd12Au4
_symmetry_space_group_name_H-M 'P 1'
_symmetry_Int_Tables_number 1
_cell_length_a 8.353
_cell_length_b 8.353
_cell_length_c 8.353
_cell_angle_alpha 109.47
_cell_angle_beta 109.47
_cell_angle_gamma 109.47
loop_
_symmetry_equiv_pos_as_xyz
'x,y,z'
loop_
_atom_site_label
_atom_site_type_symbol
_atom_site_fract_x
_atom_site_fract_y
_atom_site_fract_z
Pr1 Pr 0.000 0.000 0.000
Cd1 Cd 0.848 0.348 0.196
Cd2 Cd 0.348 0.500 0.152
Cd3 Cd 0.804 0.152 0.652
Cd4 Cd 0.348 0.196 0.848
Cd5 Cd 0.196 0.848 0.348
Cd6 Cd 0.652 0.500 0.848
Cd7 Cd 0.500 0.152 0.348
Cd8 Cd 0.500 0.848 0.652
Cd9 Cd 0.652 0.804 0.152
Cd10 Cd 0.848 0.652 0.500
Cd11 Cd 0.152 0.348 0.500
Cd12 Cd 0.152 0.652 0.804
Au1 Au 0.000 0.500 0.000
Au2 Au 0.500 0.000 0.000
Au3 Au 0.500 0.500 0.500
Au4 Au 0.000 0.000 0.500
```

---

# 3
VASP calculation (PBE-GGA) on a relaxed structure of Nd2ThZn9.

## Properties
The energy of formation is -274 meV per atom. As for the raw total energy: -2.64 eV per atom.

The structure in CIF format:
```
data_Nd2ThZn9
_symmetry_space_group_name_H-M 'P 1'
_symmetry_Int_Tables_number 1
_cell_length_a 5.516
_cell_length_b 5.516
_cell_length_c 9.342
_cell_angle_alpha 72.83
_cell_angle_beta 72.83
_cell_angle_gamma 60.00
loop_
_symmetry_equiv_pos_as_xyz
'x,y,z'
loop_
_atom_site_label
_atom_site_type_symbol
_atom_site_fract_x
_atom_site_fract_y
_atom_site_fract_z
Nd1 Nd 0.858 0.858 0.426
Nd2 Nd 0.142 0.142 0.574
Th1 Th 0.000 0.000 0.000
Zn1 Zn 0.665 0.665 0.005
Zn2 Zn 0.335 0.335 0.995
Zn3 Zn 0.500 0.500 0.500
Zn4 Zn 0.417 0.417 0.243
Zn5 Zn 0.923 0.417 0.243
Zn6 Zn 0.417 0.923 0.243
Zn7 Zn 0.583 0.583 0.757
Zn8 Zn 0.583 0.077 0.757
Zn9 Zn 0.077 0.583 0.757
```

---

# 4
VASP calculation (PBE-GGA) on a relaxed structure of K7I2BrO2.

## Properties
As for the raw total energy: -3.20 eV per atom. Its uncorrected formation energy is -1.331 eV per atom.

The structure in CIF format:
```
data_K7I2BrO2
_symmetry_space_group_name_H-M 'P 1'
_symmetry_Int_Tables_number 1
_cell_length_a 5.315
_cell_length_b 5.315
_cell_length_c 14.632
_cell_angle_alpha 79.59
_cell_angle_beta 79.59
_cell_angle_gamma 90.00
loop_
_symmetry_equiv_pos_as_xyz
'x,y,z'
loop_
_atom_site_label
_atom_site_type_symbol
_atom_site_fract_x
_atom_site_fract_y
_atom_site_fract_z
K1 K 0.500 0.500 0.000
K2 K 0.316 0.316 0.371
K3 K 0.684 0.684 0.629
K4 K 0.909 0.409 0.184
K5 K 0.409 0.909 0.184
K6 K 0.591 0.091 0.816
K7 K 0.091 0.591 0.816
I1 I 0.816 0.816 0.370
I2 I 0.184 0.184 0.630
Br1 Br 0.000 0.000 0.000
O1 O 0.593 0.593 0.812
O2 O 0.407 0.407 0.188
```